# CuAg3F6 | the Open Quantum Materials Database | GGA-PBE | optimized geometry
# **Space group**: P2_1/c, No. 14
# **Total DFT energy (no corrections)**: -0.129 hartree per atom
data_CuAg3F6
_symmetry_space_group_name_H-M 'P 1'
_symmetry_Int_Tables_number 1
_symmetry_space_group_name_Hall 'P 1'
_cell_length_a 5.611
_cell_length_b 5.787
_cell_length_c 9.680
_cell_angle_alpha 90.00
_cell_angle_beta 124.55
_cell_angle_gamma 90.00
loop_
_atom_site_label
_atom_site_fract_x
_atom_site_fract_y
_atom_site_fract_z
Cu1 0.000 0.000 0.000
Cu2 0.000 0.500 0.500
Ag1 0.271 0.054 0.751
Ag2 0.271 0.446 0.251
Ag3 0.500 0.000 0.500
Ag4 0.500 0.500 0.000
Ag5 0.729 0.554 0.749
Ag6 0.729 0.946 0.249
F1 0.132 0.037 0.235
F2 0.132 0.463 0.735
F3 0.229 0.720 0.058
F4 0.229 0.780 0.558
F5 0.336 0.185 0.046
F6 0.336 0.315 0.546
F7 0.664 0.685 0.454
F8 0.664 0.815 0.954
F9 0.771 0.220 0.442
F10 0.771 0.280 0.942
F11 0.868 0.537 0.265
F12 0.868 0.963 0.765



# K2CuAgF6 | the Open Quantum Materials Database | GGA-PBE | optimized geometry
# **Space group**: R-3m, No. 166
# **ΔE to the lowest computed polymorph**: 11 kJ/mol of formula units
# **Total DFT energy (no corrections)**: -0.146 hartree per atom
data_K2CuAgF6
_symmetry_space_group_name_H-M 'P 1'
_symmetry_Int_Tables_number 1
_symmetry_space_group_name_Hall 'P 1'
_cell_length_a 5.798
_cell_length_b 5.798
_cell_length_c 5.798
_cell_angle_alpha 60.09
_cell_angle_beta 60.09
_cell_angle_gamma 60.09
loop_
_atom_site_label
_atom_site_fract_x
_atom_site_fract_y
_atom_site_fract_z
K1 0.250 0.250 0.250
K2 0.750 0.750 0.750
Cu1 0.000 0.000 0.000
Ag1 0.500 0.500 0.500
F1 0.236 0.763 0.763
F2 0.237 0.237 0.764
F3 0.237 0.764 0.237
F4 0.763 0.236 0.763
F5 0.763 0.763 0.236
F6 0.764 0.237 0.237



# K2CuAgF6 | the Open Quantum Materials Database | GGA-PBE | optimized geometry
# **Space group**: Fm-3m, No. 225
# **ΔE to the lowest computed polymorph**: 4 kJ/mol of formula units
# **Total DFT energy (no corrections)**: -0.146 hartree per atom
data_K2CuAgF6
_symmetry_space_group_name_H-M 'P 1'
_symmetry_Int_Tables_number 1
_symmetry_space_group_name_Hall 'P 1'
_cell_length_a 5.825
_cell_length_b 5.825
_cell_length_c 5.825
_cell_angle_alpha 60.00
_cell_angle_beta 60.00
_cell_angle_gamma 60.00
loop_
_atom_site_label
_atom_site_fract_x
_atom_site_fract_y
_atom_site_fract_z
K1 0.250 0.250 0.250
K2 0.750 0.750 0.750
Cu1 0.000 0.000 0.000
Ag1 0.500 0.500 0.500
F1 0.236 0.236 0.764
F2 0.236 0.764 0.236
F3 0.236 0.764 0.764
F4 0.764 0.236 0.236
F5 0.764 0.236 0.764
F6 0.764 0.764 0.236



# K2CuAgF6 | the Open Quantum Materials Database | GGA-PBE | optimized geometry
# **Space group**: P2_1/c, No. 14
# **ΔE to the lowest computed polymorph**: 0 kJ/mol of formula units
# **Total DFT energy (no corrections)**: -0.146 hartree per atom
data_K2CuAgF6
_symmetry_space_group_name_H-M 'P 1'
_symmetry_Int_Tables_number 1
_symmetry_space_group_name_Hall 'P 1'
_cell_length_a 5.812
_cell_length_b 5.821
_cell_length_c 10.110
_cell_angle_alpha 90.00
_cell_angle_beta 124.93
_cell_angle_gamma 90.00
loop_
_atom_site_label
_atom_site_fract_x
_atom_site_fract_y
_atom_site_fract_z
K1 0.246 0.020 0.250
K2 0.246 0.480 0.750
K3 0.754 0.520 0.250
K4 0.754 0.980 0.750
Cu1 0.000 0.000 0.500
Cu2 0.000 0.500 0.000
Ag1 0.500 0.000 0.000
Ag2 0.500 0.500 0.500
F1 0.186 0.235 0.980
F2 0.186 0.265 0.480
F3 0.242 0.708 0.978
F4 0.242 0.792 0.478
F5 0.276 0.000 0.735
F6 0.276 0.500 0.235
F7 0.724 0.000 0.265
F8 0.724 0.500 0.765
F9 0.758 0.208 0.522
F10 0.758 0.292 0.022
F11 0.814 0.735 0.520
F12 0.814 0.765 0.020



# Rb2CuAgF6 | the Open Quantum Materials Database | GGA-PBE | optimized geometry
# **Space group**: R-3, No. 148
# **ΔE to the lowest computed polymorph**: 21 kJ/mol of formula units
# **Total DFT energy (no corrections)**: -0.144 hartree per atom
data_Rb2CuAgF6
_symmetry_space_group_name_H-M 'P 1'
_symmetry_Int_Tables_number 1
_symmetry_space_group_name_Hall 'P 1'
_cell_length_a 5.842
_cell_length_b 5.842
_cell_length_c 5.842
_cell_angle_alpha 59.93
_cell_angle_beta 59.93
_cell_angle_gamma 59.93
loop_
_atom_site_label
_atom_site_fract_x
_atom_site_fract_y
_atom_site_fract_z
Rb1 0.250 0.250 0.250
Rb2 0.750 0.750 0.750
Cu1 0.000 0.000 0.000
Ag1 0.500 0.500 0.500
F1 0.221 0.251 0.763
F2 0.237 0.779 0.749
F3 0.251 0.763 0.221
F4 0.749 0.237 0.779
F5 0.763 0.221 0.251
F6 0.779 0.749 0.237



# Rb2CuAgF6 | the Open Quantum Materials Database | GGA-PBE | optimized geometry
# **Space group**: Fm-3m, No. 225
# **ΔE to the lowest computed polymorph**: 0 kJ/mol of formula units
# **Total DFT energy (no corrections)**: -0.145 hartree per atom
data_Rb2CuAgF6
_symmetry_space_group_name_H-M 'P 1'
_symmetry_Int_Tables_number 1
_symmetry_space_group_name_Hall 'P 1'
_cell_length_a 5.894
_cell_length_b 5.894
_cell_length_c 5.894
_cell_angle_alpha 60.00
_cell_angle_beta 60.00
_cell_angle_gamma 60.00
loop_
_atom_site_label
_atom_site_fract_x
_atom_site_fract_y
_atom_site_fract_z
Rb1 0.250 0.250 0.250
Rb2 0.750 0.750 0.750
Cu1 0.000 0.000 0.000
Ag1 0.500 0.500 0.500
F1 0.235 0.235 0.765
F2 0.235 0.765 0.235
F3 0.235 0.765 0.765
F4 0.765 0.235 0.235
F5 0.765 0.235 0.765
F6 0.765 0.765 0.235



# Sr2CuAgSe2F2 | the Open Quantum Materials Database | GGA-PBE | optimized geometry
# **Space group**: P-4m2, No. 115
# **Total DFT energy (no corrections)**: -0.169 hartree per atom
data_Sr2CuAgSe2F2
_symmetry_space_group_name_H-M 'P 1'
_symmetry_Int_Tables_number 1
_symmetry_space_group_name_Hall 'P 1'
_cell_length_a 4.124
_cell_length_b 4.124
_cell_length_c 9.032
_cell_angle_alpha 90.00
_cell_angle_beta 90.00
_cell_angle_gamma 90.00
loop_
_atom_site_label
_atom_site_fract_x
_atom_site_fract_y
_atom_site_fract_z
Sr1 0.000 0.500 0.156
Sr2 0.500 0.000 0.844
Cu1 0.500 0.500 0.500
Ag1 0.000 0.000 0.500
Se1 0.000 0.500 0.686
Se2 0.500 0.000 0.314
F1 0.000 0.000 0.000
F2 0.500 0.500 0.000



# Tl2CuAgF6 | the Open Quantum Materials Database | GGA-PBE | optimized geometry
# **Space group**: Fm-3m, No. 225
# **Total DFT energy (no corrections)**: -0.138 hartree per atom
data_Tl2CuAgF6
_symmetry_space_group_name_H-M 'P 1'
_symmetry_Int_Tables_number 1
_symmetry_space_group_name_Hall 'P 1'
_cell_length_a 5.842
_cell_length_b 5.842
_cell_length_c 5.842
_cell_angle_alpha 60.00
_cell_angle_beta 60.00
_cell_angle_gamma 60.00
loop_
_atom_site_label
_atom_site_fract_x
_atom_site_fract_y
_atom_site_fract_z
Tl1 0.250 0.250 0.250
Tl2 0.750 0.750 0.750
Cu1 0.000 0.000 0.000
Ag1 0.500 0.500 0.500
F1 0.236 0.236 0.764
F2 0.236 0.764 0.236
F3 0.236 0.764 0.764
F4 0.764 0.236 0.236
F5 0.764 0.236 0.764
F6 0.764 0.764 0.236



# Fe2CuAg | the Open Quantum Materials Database | GGA-PBE | optimized geometry
# **Total magnetic moment**: 5.2 μB/cell
# **Formation energy from the elements**: 1.35 eV per formula unit
# **Space group**: F-43m, No. 216
# **Total DFT energy (no corrections)**: -0.200 hartree per atom
data_Fe2CuAg
_symmetry_space_group_name_H-M 'P 1'
_symmetry_Int_Tables_number 1
_symmetry_space_group_name_Hall 'P 1'
_cell_length_a 4.229
_cell_length_b 4.229
_cell_length_c 4.229
_cell_angle_alpha 60.00
_cell_angle_beta 60.00
_cell_angle_gamma 60.00
loop_
_atom_site_label
_atom_site_fract_x
_atom_site_fract_y
_atom_site_fract_z
Fe1 0.000 0.000 0.000
Fe2 0.250 0.250 0.250
Cu1 0.500 0.500 0.500
Ag1 0.750 0.750 0.750



# FeCuAgGe | the Open Quantum Materials Database | GGA-PBE | optimized geometry
# **Total magnetic moment**: 2.6 μB/cell
# **Space group**: F-43m, No. 216
# **ΔE to the lowest computed polymorph**: 0 kJ/mol of formula units
# **Total DFT energy (no corrections)**: -0.171 hartree per atom
data_FeCuAgGe
_symmetry_space_group_name_H-M 'P 1'
_symmetry_Int_Tables_number 1
_symmetry_space_group_name_Hall 'P 1'
_cell_length_a 4.350
_cell_length_b 4.350
_cell_length_c 4.350
_cell_angle_alpha 60.00
_cell_angle_beta 60.00
_cell_angle_gamma 60.00
loop_
_atom_site_label
_atom_site_fract_x
_atom_site_fract_y
_atom_site_fract_z
Fe1 0.000 0.000 0.000
Cu1 0.500 0.500 0.500
Ag1 0.750 0.750 0.750
Ge1 0.250 0.250 0.250



# InFeCuAg | the Open Quantum Materials Database | GGA-PBE | optimized geometry
# **Total magnetic moment**: 2.6 μB/cell
# **Space group**: F-43m, No. 216
# **ΔE to the lowest computed polymorph**: 0 kJ/mol of formula units
# **Total DFT energy (no corrections)**: -0.153 hartree per atom
data_InFeCuAg
_symmetry_space_group_name_H-M 'P 1'
_symmetry_Int_Tables_number 1
_symmetry_space_group_name_Hall 'P 1'
_cell_length_a 4.479
_cell_length_b 4.479
_cell_length_c 4.479
_cell_angle_alpha 60.00
_cell_angle_beta 60.00
_cell_angle_gamma 60.00
loop_
_atom_site_label
_atom_site_fract_x
_atom_site_fract_y
_atom_site_fract_z
In1 0.000 0.000 0.000
Fe1 0.750 0.750 0.750
Cu1 0.250 0.250 0.250
Ag1 0.500 0.500 0.500



# FeCuAgOs | the Open Quantum Materials Database | GGA-PBE | optimized geometry
# **Total magnetic moment**: 3.6 μB/cell
# **Formation energy from the elements**: 2.16 eV per formula unit
# **Space group**: F-43m, No. 216
# **ΔE to the lowest computed polymorph**: 0 kJ/mol of formula units
# **Total DFT energy (no corrections)**: -0.220 hartree per atom
data_FeCuAgOs
_symmetry_space_group_name_H-M 'P 1'
_symmetry_Int_Tables_number 1
_symmetry_space_group_name_Hall 'P 1'
_cell_length_a 4.230
_cell_length_b 4.230
_cell_length_c 4.230
_cell_angle_alpha 60.00
_cell_angle_beta 60.00
_cell_angle_gamma 60.00
loop_
_atom_site_label
_atom_site_fract_x
_atom_site_fract_y
_atom_site_fract_z
Fe1 0.000 0.000 0.000
Cu1 0.500 0.500 0.500
Ag1 0.750 0.750 0.750
Os1 0.250 0.250 0.250



# FeCuAgSb | the Open Quantum Materials Database | GGA-PBE | optimized geometry
# **Total magnetic moment**: 2.3 μB/cell
# **Space group**: F-43m, No. 216
# **ΔE to the lowest computed polymorph**: 0 kJ/mol of formula units
# **Total DFT energy (no corrections)**: -0.165 hartree per atom
data_FeCuAgSb
_symmetry_space_group_name_H-M 'P 1'
_symmetry_Int_Tables_number 1
_symmetry_space_group_name_Hall 'P 1'
_cell_length_a 4.500
_cell_length_b 4.500
_cell_length_c 4.500
_cell_angle_alpha 60.00
_cell_angle_beta 60.00
_cell_angle_gamma 60.00
loop_
_atom_site_label
_atom_site_fract_x
_atom_site_fract_y
_atom_site_fract_z
Fe1 0.000 0.000 0.000
Cu1 0.500 0.500 0.500
Ag1 0.750 0.750 0.750
Sb1 0.250 0.250 0.250



# FeCuAgSn | the Open Quantum Materials Database | GGA-PBE | optimized geometry
# **Total magnetic moment**: 2.4 μB/cell
# **Space group**: F-43m, No. 216
# **ΔE to the lowest computed polymorph**: 0 kJ/mol of formula units
# **Total DFT energy (no corrections)**: -0.165 hartree per atom
data_FeCuAgSn
_symmetry_space_group_name_H-M 'P 1'
_symmetry_Int_Tables_number 1
_symmetry_space_group_name_Hall 'P 1'
_cell_length_a 4.482
_cell_length_b 4.482
_cell_length_c 4.482
_cell_angle_alpha 60.00
_cell_angle_beta 60.00
_cell_angle_gamma 60.00
loop_
_atom_site_label
_atom_site_fract_x
_atom_site_fract_y
_atom_site_fract_z
Fe1 0.000 0.000 0.000
Cu1 0.500 0.500 0.500
Ag1 0.750 0.750 0.750
Sn1 0.250 0.250 0.250



# ZnFeCuAg | the Open Quantum Materials Database | GGA-PBE | optimized geometry
# **Total magnetic moment**: 2.9 μB/cell
# **Formation energy from the elements**: 0.85 eV per formula unit
# **Space group**: F-43m, No. 216
# **ΔE to the lowest computed polymorph**: 0 kJ/mol of formula units
# **Total DFT energy (no corrections)**: -0.140 hartree per atom
data_ZnFeCuAg
_symmetry_space_group_name_H-M 'P 1'
_symmetry_Int_Tables_number 1
_symmetry_space_group_name_Hall 'P 1'
_cell_length_a 4.322
_cell_length_b 4.322
_cell_length_c 4.322
_cell_angle_alpha 60.00
_cell_angle_beta 60.00
_cell_angle_gamma 60.00
loop_
_atom_site_label
_atom_site_fract_x
_atom_site_fract_y
_atom_site_fract_z
Zn1 0.000 0.000 0.000
Fe1 0.500 0.500 0.500
Cu1 0.250 0.250 0.250
Ag1 0.750 0.750 0.750



# GaCu2Ag | the Open Quantum Materials Database | GGA-PBE | optimized geometry
# **Space group**: Pmmn, No. 59
# **Total DFT energy (no corrections)**: -0.123 hartree per atom
data_GaCu2Ag
_symmetry_space_group_name_H-M 'P 1'
_symmetry_Int_Tables_number 1
_symmetry_space_group_name_Hall 'P 1'
_cell_length_a 4.307
_cell_length_b 5.474
_cell_length_c 4.842
_cell_angle_alpha 90.00
_cell_angle_beta 90.00
_cell_angle_gamma 90.00
loop_
_atom_site_label
_atom_site_fract_x
_atom_site_fract_y
_atom_site_fract_z
Ga1 0.250 0.250 0.206
Ga2 0.750 0.750 0.794
Cu1 0.250 0.508 0.653
Cu2 0.250 0.992 0.653
Cu3 0.750 0.008 0.347
Cu4 0.750 0.492 0.347
Ag1 0.250 0.750 0.150
Ag2 0.750 0.250 0.850



# GaCu2Ag | the Open Quantum Materials Database | GGA-PBE | optimized geometry
# **Space group**: F-43m, No. 216
# **Total DFT energy (no corrections)**: -0.121 hartree per atom
data_GaCu2Ag
_symmetry_space_group_name_H-M 'P 1'
_symmetry_Int_Tables_number 1
_symmetry_space_group_name_Hall 'P 1'
_cell_length_a 4.323
_cell_length_b 4.323
_cell_length_c 4.323
_cell_angle_alpha 60.00
_cell_angle_beta 60.00
_cell_angle_gamma 60.00
loop_
_atom_site_label
_atom_site_fract_x
_atom_site_fract_y
_atom_site_fract_z
Ga1 0.000 0.000 0.000
Cu1 0.250 0.250 0.250
Cu2 0.500 0.500 0.500
Ag1 0.750 0.750 0.750



# Ga2CuAg | the Open Quantum Materials Database | GGA-PBE | optimized geometry
# **Space group**: F-43m, No. 216
# **Total DFT energy (no corrections)**: -0.112 hartree per atom
data_Ga2CuAg
_symmetry_space_group_name_H-M 'P 1'
_symmetry_Int_Tables_number 1
_symmetry_space_group_name_Hall 'P 1'
_cell_length_a 4.526
_cell_length_b 4.526
_cell_length_c 4.526
_cell_angle_alpha 60.00
_cell_angle_beta 60.00
_cell_angle_gamma 60.00
loop_
_atom_site_label
_atom_site_fract_x
_atom_site_fract_y
_atom_site_fract_z
Ga1 0.000 0.000 0.000
Ga2 0.250 0.250 0.250
Cu1 0.750 0.750 0.750
Ag1 0.500 0.500 0.500



# Hf2Ga2CuAg | the Open Quantum Materials Database | GGA-PBE | optimized geometry
# **Total magnetic moment**: 0.0 μB/cell
# **Space group**: Pm, No. 6
# **Total DFT energy (no corrections)**: -0.205 hartree per atom
data_Hf2Ga2CuAg
_symmetry_space_group_name_H-M 'P 1'
_symmetry_Int_Tables_number 1
_symmetry_space_group_name_Hall 'P 1'
_cell_length_a 7.500
_cell_length_b 4.299
_cell_length_c 14.312
_cell_angle_alpha 90.00
_cell_angle_beta 99.58
_cell_angle_gamma 90.00
loop_
_atom_site_label
_atom_site_fract_x
_atom_site_fract_y
_atom_site_fract_z
Hf1 0.000 0.000 0.000
Hf2 0.009 0.500 0.493
Hf3 0.234 0.000 0.735
Hf4 0.246 0.500 0.241
Hf5 0.480 0.000 0.483
Hf6 0.499 0.500 0.999
Hf7 0.742 0.000 0.236
Hf8 0.759 0.500 0.739
Ga1 0.121 0.500 0.861
Ga2 0.124 0.000 0.362
Ga3 0.363 0.500 0.610
Ga4 0.372 0.000 0.122
Ga5 0.611 0.500 0.362
Ga6 0.621 0.000 0.865
Ga7 0.874 0.500 0.123
Ga8 0.879 0.000 0.616
Cu1 0.060 0.000 0.182
Cu2 0.060 0.500 0.676
Cu3 0.305 0.500 0.424
Cu4 0.557 0.500 0.181
Ag1 0.308 0.000 0.928
Ag2 0.557 0.000 0.675
Ag3 0.808 0.000 0.427
Ag4 0.811 0.500 0.930



# Ho2Ga2CuAg | the Open Quantum Materials Database | GGA-PBE | optimized geometry
# **Total magnetic moment**: 0.0 μB/cell
# **Space group**: P3m1, No. 156
# **Total DFT energy (no corrections)**: -0.151 hartree per atom
data_Ho2Ga2CuAg
_symmetry_space_group_name_H-M 'P 1'
_symmetry_Int_Tables_number 1
_symmetry_space_group_name_Hall 'P 1'
_cell_length_a 4.468
_cell_length_b 4.468
_cell_length_c 7.006
_cell_angle_alpha 90.00
_cell_angle_beta 90.00
_cell_angle_gamma 120.00
loop_
_atom_site_label
_atom_site_fract_x
_atom_site_fract_y
_atom_site_fract_z
Ho1 0.000 0.000 0.000
Ho2 0.000 0.000 0.485
Ga1 0.333 0.667 0.259
Ga2 0.333 0.667 0.720
Cu1 0.667 0.333 0.236
Ag1 0.667 0.333 0.752